Density functional theory data (GGA-PBE) for crystalline NpCo2Si at its relaxed geometry. Values from VASP.

Results
Formation energy from raw total energies: -225 meV per atom
Symmetry: P4/mmm
VASP energy: -33.5 eV for the cell shown

Quantum ESPRESSO input file:
```
&SYSTEM
  ibrav = 0, nat = 4, ntyp = 3
/
ATOMIC_SPECIES
Np 237.00 Np.upf
Si 28.09 Si.upf
Co 58.93 Co.upf
CELL_PARAMETERS angstrom
2.7569 0.0000 0.0000
0.0000 2.7569 0.0000
0.0000 0.0000 6.8880
ATOMIC_POSITIONS crystal
Np 0.5000 0.5000 0.5000
Si 0.5000 0.5000 0.0000
Co 0.0000 0.0000 0.8065
Co 0.0000 0.0000 0.1935
```

=====

Density functional theory data (GGA-PBE) for crystalline BaZrOs4 at its relaxed geometry. Values from VASP.

Results
Formation enthalpy at 0 K: 0.428 eV per atom
Symmetry: F-43m
VASP energy: -52.8 eV for the cell shown

Quantum ESPRESSO input file:
```
&SYSTEM
  ibrav = 0, nat = 6, ntyp = 3
/
ATOMIC_SPECIES
Ba 137.33 Ba.upf
Zr 91.22 Zr.upf
Os 190.23 Os.upf
CELL_PARAMETERS angstrom
2.8493 -2.8841 3.6026
-1.1666 -5.2334 0.8155
3.4296 -3.8403 -1.7044
ATOMIC_POSITIONS crystal
Ba 0.0000 0.0000 0.0000
Zr 0.7500 0.7500 0.7500
Os 0.8719 0.3760 0.3760
Os 0.3760 0.3760 0.8719
Os 0.3760 0.8719 0.3760
Os 0.3760 0.3760 0.3760
```

=====

VASP energy of number 1 (NpCo2Si)?
-33.5 eV for the cell shown

=====

What is the formula in the first record?
NpCo2Si

=====

What did the second record say?
Density functional theory data (GGA-PBE) for crystalline BaZrOs4 at its relaxed geometry. Values from VASP.

Results
Formation enthalpy at 0 K: 0.428 eV per atom
Symmetry: F-43m
VASP energy: -52.8 eV for the cell shown

Quantum ESPRESSO input file:
```
&SYSTEM
  ibrav = 0, nat = 6, ntyp = 3
/
ATOMIC_SPECIES
Ba 137.33 Ba.upf
Zr 91.22 Zr.upf
Os 190.23 Os.upf
CELL_PARAMETERS angstrom
2.8493 -2.8841 3.6026
-1.1666 -5.2334 0.8155
3.4296 -3.8403 -1.7044
ATOMIC_POSITIONS crystal
Ba 0.0000 0.0000 0.0000
Zr 0.7500 0.7500 0.7500
Os 0.8719 0.3760 0.3760
Os 0.3760 0.3760 0.8719
Os 0.3760 0.8719 0.3760
Os 0.3760 0.3760 0.3760
```

=====

The lowest VASP energy belongs to which entry?
BaZrOs4